(1)
Nd6Sm5Th | GGA-PBE | relaxed

Computed properties:
* final energy: -59.3 eV per cell
* formation energy: 28 meV/atom

Cell and atoms, written as CIF:
```
data_Nd6Sm5Th
_chemical_formula_sum 'Nd6 Sm5 Th1'
_cell_length_a 9.657
_cell_length_b 9.657
_cell_length_c 5.165
_cell_angle_alpha 105.44
_cell_angle_beta 105.44
_cell_angle_gamma 64.72
_space_group_name_H-M_alt 'P 1'
_space_group_IT_number 1
loop_
_space_group_symop_operation_xyz
'x,y,z'
loop_
_atom_site_label
_atom_site_type_symbol
_atom_site_fract_x
_atom_site_fract_y
_atom_site_fract_z
_atom_site_occupancy
Nd1 Nd 0.084 0.587 0.336 1
Nd2 Nd 0.246 0.754 0.000 1
Nd3 Nd 0.413 0.916 0.664 1
Nd4 Nd 0.587 0.084 0.336 1
Nd5 Nd 0.754 0.246 0.000 1
Nd6 Nd 0.916 0.413 0.664 1
Sm1 Sm 0.164 0.164 0.164 1
Sm2 Sm 0.333 0.333 0.833 1
Sm3 Sm 0.500 0.500 0.500 1
Sm4 Sm 0.667 0.667 0.167 1
Sm5 Sm 0.836 0.836 0.836 1
Th1 Th 0.000 0.000 0.500 1
```



(2)
Nd4SmTh3 | GGA-PBE | relaxed

Computed properties:
* final energy: -91.4 eV per cell
* formation energy: 43 meV/atom

Cell and atoms, written as CIF:
```
data_Nd4SmTh3
_chemical_formula_sum 'Nd8 Sm2 Th6'
_cell_length_a 5.109
_cell_length_b 10.244
_cell_length_c 10.358
_cell_angle_alpha 90.00
_cell_angle_beta 90.00
_cell_angle_gamma 90.00
_space_group_name_H-M_alt 'P 1'
_space_group_IT_number 1
loop_
_space_group_symop_operation_xyz
'x,y,z'
loop_
_atom_site_label
_atom_site_type_symbol
_atom_site_fract_x
_atom_site_fract_y
_atom_site_fract_z
_atom_site_occupancy
Nd1 Nd 0.250 0.002 0.133 1
Nd2 Nd 0.250 0.250 0.870 1
Nd3 Nd 0.250 0.498 0.133 1
Nd4 Nd 0.250 0.750 0.863 1
Nd5 Nd 0.750 0.250 0.137 1
Nd6 Nd 0.750 0.502 0.867 1
Nd7 Nd 0.750 0.750 0.130 1
Nd8 Nd 0.750 0.998 0.867 1
Sm1 Sm 0.250 0.750 0.382 1
Sm2 Sm 0.750 0.250 0.618 1
Th1 Th 0.250 0.250 0.380 1
Th2 Th 0.250 0.503 0.618 1
Th3 Th 0.250 0.997 0.618 1
Th4 Th 0.750 0.003 0.382 1
Th5 Th 0.750 0.497 0.382 1
Th6 Th 0.750 0.750 0.620 1
```



(3)
Nd7Sm4Th | GGA-PBE | relaxed

Computed properties:
* polymorph energy (0 for the lowest one): 0 meV/atom
* final energy: -59.4 eV per cell
* formation energy: 23 meV/atom

Cell and atoms, written as CIF:
```
data_Nd7Sm4Th
_chemical_formula_sum 'Nd7 Sm4 Th1'
_cell_length_a 6.384
_cell_length_b 7.354
_cell_length_c 9.126
_cell_angle_alpha 89.98
_cell_angle_beta 76.38
_cell_angle_gamma 89.94
_space_group_name_H-M_alt 'P 1'
_space_group_IT_number 1
loop_
_space_group_symop_operation_xyz
'x,y,z'
loop_
_atom_site_label
_atom_site_type_symbol
_atom_site_fract_x
_atom_site_fract_y
_atom_site_fract_z
_atom_site_occupancy
Nd1 Nd 0.000 0.000 0.000 1
Nd2 Nd 0.217 0.501 0.328 1
Nd3 Nd 0.276 0.747 0.670 1
Nd4 Nd 0.500 0.254 0.000 1
Nd5 Nd 0.500 0.746 0.000 1
Nd6 Nd 0.724 0.253 0.330 1
Nd7 Nd 0.783 0.499 0.672 1
Sm1 Sm 0.221 0.000 0.336 1
Sm2 Sm 0.276 0.252 0.672 1
Sm3 Sm 0.724 0.748 0.328 1
Sm4 Sm 0.779 0.000 0.664 1
Th1 Th 0.000 0.500 0.000 1
```



(4)
Nd2Sm9Th | GGA-PBE | relaxed

Computed properties:
* final energy: -59.1 eV per cell
* formation energy: 25 meV/atom

Cell and atoms, written as CIF:
```
data_Nd2Sm9Th
_chemical_formula_sum 'Nd2 Sm9 Th1'
_cell_length_a 5.134
_cell_length_b 5.134
_cell_length_c 15.415
_cell_angle_alpha 90.00
_cell_angle_beta 90.00
_cell_angle_gamma 90.00
_space_group_name_H-M_alt 'P 1'
_space_group_IT_number 1
loop_
_space_group_symop_operation_xyz
'x,y,z'
loop_
_atom_site_label
_atom_site_type_symbol
_atom_site_fract_x
_atom_site_fract_y
_atom_site_fract_z
_atom_site_occupancy
Nd1 Nd 0.000 0.000 0.168 1
Nd2 Nd 0.000 0.000 0.832 1
Sm1 Sm 0.000 0.500 0.000 1
Sm2 Sm 0.000 0.500 0.337 1
Sm3 Sm 0.000 0.500 0.663 1
Sm4 Sm 0.500 0.000 0.000 1
Sm5 Sm 0.500 0.000 0.337 1
Sm6 Sm 0.500 0.000 0.663 1
Sm7 Sm 0.500 0.500 0.167 1
Sm8 Sm 0.500 0.500 0.500 1
Sm9 Sm 0.500 0.500 0.833 1
Th1 Th 0.000 0.000 0.500 1
```



(5)
Nd6Sm12Th | GGA-PBE | relaxed

Computed properties:
* polymorph energy (0 for the lowest one): 0 meV/atom
* final energy: -90.3 eV per cell
* formation energy: 122 meV/atom

Cell and atoms, written as CIF:
```
data_Nd6Sm12Th
_chemical_formula_sum 'Nd6 Sm12 Th1'
_cell_length_a 8.865
_cell_length_b 8.865
_cell_length_c 8.865
_cell_angle_alpha 98.15
_cell_angle_beta 98.15
_cell_angle_gamma 98.15
_space_group_name_H-M_alt 'P 1'
_space_group_IT_number 1
loop_
_space_group_symop_operation_xyz
'x,y,z'
loop_
_atom_site_label
_atom_site_type_symbol
_atom_site_fract_x
_atom_site_fract_y
_atom_site_fract_z
_atom_site_occupancy
Nd1 Nd 0.095 0.360 0.360 1
Nd2 Nd 0.360 0.095 0.360 1
Nd3 Nd 0.360 0.360 0.095 1
Nd4 Nd 0.640 0.640 0.905 1
Nd5 Nd 0.640 0.905 0.640 1
Nd6 Nd 0.905 0.640 0.640 1
Sm1 Sm 0.086 0.086 0.670 1
Sm2 Sm 0.086 0.670 0.086 1
Sm3 Sm 0.238 0.500 0.762 1
Sm4 Sm 0.238 0.762 0.500 1
Sm5 Sm 0.330 0.914 0.914 1
Sm6 Sm 0.500 0.238 0.762 1
Sm7 Sm 0.500 0.762 0.238 1
Sm8 Sm 0.670 0.086 0.086 1
Sm9 Sm 0.762 0.238 0.500 1
Sm10 Sm 0.762 0.500 0.238 1
Sm11 Sm 0.914 0.330 0.914 1
Sm12 Sm 0.914 0.914 0.330 1
Th1 Th 0.500 0.500 0.500 1
```



(6)
Nd2Sm5Th2 | GGA-PBE | relaxed

Computed properties:
* final energy: -45.7 eV per cell
* formation energy: 257 meV/atom

Cell and atoms, written as CIF:
```
data_Nd2Sm5Th2
_chemical_formula_sum 'Nd2 Sm5 Th2'
_cell_length_a 11.674
_cell_length_b 11.674
_cell_length_c 8.053
_cell_angle_alpha 98.47
_cell_angle_beta 98.47
_cell_angle_gamma 17.31
_space_group_name_H-M_alt 'P 1'
_space_group_IT_number 1
loop_
_space_group_symop_operation_xyz
'x,y,z'
loop_
_atom_site_label
_atom_site_type_symbol
_atom_site_fract_x
_atom_site_fract_y
_atom_site_fract_z
_atom_site_occupancy
Nd1 Nd 0.176 0.176 0.146 1
Nd2 Nd 0.824 0.824 0.854 1
Sm1 Sm 0.000 0.000 0.000 1
Sm2 Sm 0.090 0.090 0.730 1
Sm3 Sm 0.308 0.308 0.451 1
Sm4 Sm 0.692 0.692 0.549 1
Sm5 Sm 0.910 0.910 0.270 1
Th1 Th 0.447 0.447 0.642 1
Th2 Th 0.553 0.553 0.358 1
```



(7)
Nd7Sm2Th2 | GGA-PBE | relaxed

Computed properties:
* polymorph energy (0 for the lowest one): 3 meV/atom
* final energy: -55.7 eV per cell
* formation energy: 179 meV/atom

Cell and atoms, written as CIF:
```
data_Nd7Sm2Th2
_chemical_formula_sum 'Nd7 Sm2 Th2'
_cell_length_a 8.235
_cell_length_b 8.235
_cell_length_c 6.113
_cell_angle_alpha 105.59
_cell_angle_beta 105.59
_cell_angle_gamma 89.49
_space_group_name_H-M_alt 'P 1'
_space_group_IT_number 1
loop_
_space_group_symop_operation_xyz
'x,y,z'
loop_
_atom_site_label
_atom_site_type_symbol
_atom_site_fract_x
_atom_site_fract_y
_atom_site_fract_z
_atom_site_occupancy
Nd1 Nd 0.000 0.000 0.000 1
Nd2 Nd 0.045 0.591 0.826 1
Nd3 Nd 0.409 0.955 0.174 1
Nd4 Nd 0.429 0.429 0.204 1
Nd5 Nd 0.571 0.571 0.796 1
Nd6 Nd 0.591 0.045 0.826 1
Nd7 Nd 0.955 0.409 0.174 1
Sm1 Sm 0.223 0.223 0.600 1
Sm2 Sm 0.777 0.777 0.400 1
Th1 Th 0.215 0.785 0.500 1
Th2 Th 0.785 0.215 0.500 1
```



(8)
Nd4Sm3Th2 | GGA-PBE | relaxed

Computed properties:
* polymorph energy (0 for the lowest one): 0 meV/atom
* final energy: -47.9 eV per cell
* formation energy: 21 meV/atom

Cell and atoms, written as CIF:
```
data_Nd4Sm3Th2
_chemical_formula_sum 'Nd4 Sm3 Th2'
_cell_length_a 9.701
_cell_length_b 9.701
_cell_length_c 9.762
_cell_angle_alpha 115.04
_cell_angle_beta 115.04
_cell_angle_gamma 21.78
_space_group_name_H-M_alt 'P 1'
_space_group_IT_number 1
loop_
_space_group_symop_operation_xyz
'x,y,z'
loop_
_atom_site_label
_atom_site_type_symbol
_atom_site_fract_x
_atom_site_fract_y
_atom_site_fract_z
_atom_site_occupancy
Nd1 Nd 0.016 0.016 0.329 1
Nd2 Nd 0.316 0.316 0.677 1
Nd3 Nd 0.684 0.684 0.323 1
Nd4 Nd 0.984 0.984 0.671 1
Sm1 Sm 0.349 0.349 0.324 1
Sm2 Sm 0.500 0.500 0.000 1
Sm3 Sm 0.651 0.651 0.676 1
Th1 Th 0.169 0.169 0.000 1
Th2 Th 0.831 0.831 0.000 1
```



(9)
Nd4Sm7Th | GGA-PBE | relaxed

Computed properties:
* polymorph energy (0 for the lowest one): 0 meV/atom
* final energy: -59.3 eV per cell
* formation energy: 22 meV/atom

Cell and atoms, written as CIF:
```
data_Nd4Sm7Th
_chemical_formula_sum 'Nd4 Sm7 Th1'
_cell_length_a 6.355
_cell_length_b 7.328
_cell_length_c 9.104
_cell_angle_alpha 90.02
_cell_angle_beta 103.55
_cell_angle_gamma 90.05
_space_group_name_H-M_alt 'P 1'
_space_group_IT_number 1
loop_
_space_group_symop_operation_xyz
'x,y,z'
loop_
_atom_site_label
_atom_site_type_symbol
_atom_site_fract_x
_atom_site_fract_y
_atom_site_fract_z
_atom_site_occupancy
Nd1 Nd 0.223 0.001 0.165 1
Nd2 Nd 0.277 0.254 0.829 1
Nd3 Nd 0.723 0.746 0.171 1
Nd4 Nd 0.777 0.999 0.835 1
Sm1 Sm 0.000 0.000 0.500 1
Sm2 Sm 0.216 0.501 0.173 1
Sm3 Sm 0.276 0.745 0.828 1
Sm4 Sm 0.500 0.256 0.500 1
Sm5 Sm 0.500 0.744 0.500 1
Sm6 Sm 0.724 0.255 0.172 1
Sm7 Sm 0.784 0.499 0.827 1
Th1 Th 0.000 0.500 0.500 1
```



(10)
Nd10Sm6Th | GGA-PBE | relaxed

Computed properties:
* final energy: -81.0 eV per cell
* formation energy: 145 meV/atom

Cell and atoms, written as CIF:
```
data_Nd10Sm6Th
_chemical_formula_sum 'Nd10 Sm6 Th1'
_cell_length_a 9.900
_cell_length_b 9.900
_cell_length_c 7.043
_cell_angle_alpha 90.00
_cell_angle_beta 90.00
_cell_angle_gamma 120.00
_space_group_name_H-M_alt 'P 1'
_space_group_IT_number 1
loop_
_space_group_symop_operation_xyz
'x,y,z'
loop_
_atom_site_label
_atom_site_type_symbol
_atom_site_fract_x
_atom_site_fract_y
_atom_site_fract_z
_atom_site_occupancy
Nd1 Nd 0.000 0.273 0.185 1
Nd2 Nd 0.000 0.727 0.815 1
Nd3 Nd 0.273 0.000 0.185 1
Nd4 Nd 0.273 0.273 0.815 1
Nd5 Nd 0.333 0.667 0.000 1
Nd6 Nd 0.333 0.667 0.500 1
Nd7 Nd 0.667 0.333 0.000 1
Nd8 Nd 0.667 0.333 0.500 1
Nd9 Nd 0.727 0.000 0.815 1
Nd10 Nd 0.727 0.727 0.185 1
Sm1 Sm 0.000 0.371 0.696 1
Sm2 Sm 0.000 0.629 0.304 1
Sm3 Sm 0.371 0.000 0.696 1
Sm4 Sm 0.371 0.371 0.304 1
Sm5 Sm 0.629 0.000 0.304 1
Sm6 Sm 0.629 0.629 0.696 1
Th1 Th 0.000 0.000 0.500 1
```



(11)
NdSm3Th | GGA-PBE | relaxed

Computed properties:
* final energy: -50.9 eV per cell
* formation energy: 174 meV/atom

Cell and atoms, written as CIF:
```
data_NdSm3Th
_chemical_formula_sum 'Nd2 Sm6 Th2'
_cell_length_a 6.314
_cell_length_b 6.314
_cell_length_c 11.143
_cell_angle_alpha 90.02
_cell_angle_beta 90.02
_cell_angle_gamma 128.80
_space_group_name_H-M_alt 'P 1'
_space_group_IT_number 1
loop_
_space_group_symop_operation_xyz
'x,y,z'
loop_
_atom_site_label
_atom_site_type_symbol
_atom_site_fract_x
_atom_site_fract_y
_atom_site_fract_z
_atom_site_occupancy
Nd1 Nd 0.156 0.844 0.000 1
Nd2 Nd 0.844 0.156 0.000 1
Sm1 Sm 0.151 0.848 0.308 1
Sm2 Sm 0.152 0.849 0.692 1
Sm3 Sm 0.500 0.500 0.173 1
Sm4 Sm 0.500 0.500 0.827 1
Sm5 Sm 0.848 0.151 0.308 1
Sm6 Sm 0.849 0.152 0.692 1
Th1 Th 0.364 0.636 0.500 1
Th2 Th 0.636 0.364 0.500 1
```



(12)
Nd8Sm3Th2 | GGA-PBE | relaxed

Computed properties:
* final energy: -131.2 eV per cell
* formation energy: 118 meV/atom

Cell and atoms, written as CIF:
```
data_Nd8Sm3Th2
_chemical_formula_sum 'Nd16 Sm6 Th4'
_cell_length_a 6.291
_cell_length_b 7.867
_cell_length_c 19.039
_cell_angle_alpha 85.68
_cell_angle_beta 81.04
_cell_angle_gamma 77.76
_space_group_name_H-M_alt 'P 1'
_space_group_IT_number 1
loop_
_space_group_symop_operation_xyz
'x,y,z'
loop_
_atom_site_label
_atom_site_type_symbol
_atom_site_fract_x
_atom_site_fract_y
_atom_site_fract_z
_atom_site_occupancy
Nd1 Nd 0.001 0.489 0.177 1
Nd2 Nd 0.111 0.036 0.237 1
Nd3 Nd 0.113 0.052 0.577 1
Nd4 Nd 0.234 0.598 0.315 1
Nd5 Nd 0.337 0.164 0.385 1
Nd6 Nd 0.372 0.147 0.060 1
Nd7 Nd 0.449 0.682 0.111 1
Nd8 Nd 0.451 0.716 0.463 1
Nd9 Nd 0.549 0.284 0.537 1
Nd10 Nd 0.551 0.318 0.889 1
Nd11 Nd 0.628 0.853 0.940 1
Nd12 Nd 0.663 0.836 0.615 1
Nd13 Nd 0.766 0.402 0.685 1
Nd14 Nd 0.887 0.948 0.423 1
Nd15 Nd 0.889 0.964 0.763 1
Nd16 Nd 0.999 0.511 0.823 1
Sm1 Sm 0.000 0.500 0.000 1
Sm2 Sm 0.000 0.500 0.500 1
Sm3 Sm 0.331 0.180 0.729 1
Sm4 Sm 0.427 0.737 0.793 1
Sm5 Sm 0.573 0.263 0.207 1
Sm6 Sm 0.669 0.820 0.271 1
Th1 Th 0.088 0.064 0.916 1
Th2 Th 0.219 0.617 0.648 1
Th3 Th 0.781 0.383 0.352 1
Th4 Th 0.912 0.936 0.084 1
```



> Which value of formation energy does entry 9 give?

22 meV/atom



> Number 4 is which compound?

Nd2Sm9Th



> What is the formation energy in the fourth record?

25 meV/atom